The following is a PBE calculation of crystalline Na2Hg4Rh at its relaxed geometry, from Alexandria.

a = 8.522 Å, b = 8.522 Å, c = 8.522 Å
α = 143.85°, β = 143.85°, γ = 52.05°
Sites, in units of the cell vectors:
Na 0.126 0.126 0.000
Na 0.874 0.874 0.000
Hg 0.000 0.500 0.500
Hg 0.323 0.323 0.000
Hg 0.500 0.000 0.500
Hg 0.677 0.677 0.000
Rh 0.500 0.500 0.000

* formation enthalpy at 0 K: -0.05 eV per atom

=====

The following is a PBE calculation of crystalline Li3PuU3Se8 at its relaxed geometry, from Alexandria.

a = 8.032 Å, b = 8.032 Å, c = 8.032 Å
α = 61.08°, β = 61.08°, γ = 61.08°
Sites, in units of the cell vectors:
Li 0.000 0.500 0.500
Li 0.500 0.000 0.500
Li 0.500 0.500 0.000
Pu 0.500 0.500 0.500
U 0.000 0.000 0.500
U 0.000 0.500 0.000
U 0.500 0.000 0.000
Se 0.246 0.753 0.753
Se 0.247 0.247 0.754
Se 0.247 0.754 0.247
Se 0.253 0.253 0.253
Se 0.747 0.747 0.747
Se 0.753 0.246 0.753
Se 0.753 0.753 0.246
Se 0.754 0.247 0.247

* energy relative to the elements, uncorrected: -1234 meV/atom

=====

The following is a PBE calculation of crystalline Na3Ce2Cl8 at its relaxed geometry, from Alexandria.

a = 8.380 Å, b = 8.380 Å, c = 6.941 Å
α = 105.18°, β = 105.18°, γ = 58.35°
Sites, in units of the cell vectors:
Na 0.000 0.000 0.000
Na 0.258 0.742 0.500
Na 0.742 0.258 0.500
Ce 0.253 0.253 0.534
Ce 0.747 0.747 0.466
Cl 0.101 0.637 0.738
Cl 0.110 0.110 0.730
Cl 0.363 0.899 0.262
Cl 0.375 0.375 0.298
Cl 0.625 0.625 0.702
Cl 0.637 0.101 0.738
Cl 0.890 0.890 0.270
Cl 0.899 0.363 0.262

* energy relative to the elements, uncorrected: -1936 meV/atom

=====

The following is a PBE calculation of crystalline ZrMo at its relaxed geometry, from Alexandria.

a = 5.697 Å, b = 5.697 Å, c = 5.697 Å
α = 139.86°, β = 139.86°, γ = 58.07°
Sites, in units of the cell vectors:
Zr 0.375 0.625 0.750
Zr 0.625 0.375 0.250
Mo 0.125 0.875 0.250
Mo 0.875 0.125 0.750

* formation enthalpy at 0 K: 0.18 eV per atom
* energy relative to the lowest polymorph listed for this composition: 217.8 meV/atom

=====

The following is a PBE calculation of crystalline YCo6Ge6 at its relaxed geometry, from Alexandria.

a = 6.431 Å, b = 6.431 Å, c = 6.431 Å
α = 133.29°, β = 104.69°, γ = 93.48°
Sites, in units of the cell vectors:
Y 0.000 0.000 0.000
Co 0.000 0.000 0.500
Co 0.000 0.500 0.000
Co 0.252 0.500 0.752
Co 0.500 0.000 0.000
Co 0.500 0.500 0.500
Co 0.748 0.500 0.248
Ge 0.170 0.670 0.500
Ge 0.337 0.337 0.000
Ge 0.345 0.000 0.345
Ge 0.655 0.000 0.655
Ge 0.663 0.663 0.000
Ge 0.830 0.330 0.500

* formation enthalpy at 0 K: -0.35 eV per atom